[1]
A plane-wave DFT calculation with GGA-PBE was carried out for crystalline NaSc2HgRu at its relaxed geometry.

Results
Final energy, eV per atom: -3.70
Magnetic moment, μB per formula unit: 0.000
Calculated formation energy, eV per atom: 1.011

a b c (Å): 5.254 4.866 5.254
angles (deg): 90.00 90.00 90.00
Fractional positions:
Sc 0.000 0.000 0.500
Sc 0.500 0.000 0.000
Ru 0.500 0.500 0.500
Hg 0.000 0.000 0.000
Na 0.000 0.500 0.000


[2]
A plane-wave DFT calculation with GGA-PBE was carried out for crystalline NaTcHgRu2 at its relaxed geometry.

Results
Final energy, eV per atom: -3.83
Magnetic moment, μB per formula unit: 4.560
Calculated formation energy, eV per atom: 2.273

a b c (Å): 4.546 4.569 4.546
angles (deg): 90.00 90.00 90.00
Fractional positions:
Ru 0.000 0.000 0.500
Ru 0.500 0.000 0.000
Na 0.000 0.000 0.000
Hg 0.500 0.500 0.500
Tc 0.000 0.500 0.000


[3]
A plane-wave DFT calculation with GGA-PBE was carried out for crystalline Na2YHgRu at its relaxed geometry.

Results
Final energy, eV per atom: -3.02
Magnetic moment, μB per formula unit: 0.002
Calculated formation energy, eV per atom: 0.715

a b c (Å): 5.028 5.342 5.028
angles (deg): 90.00 90.00 90.00
Fractional positions:
Y 0.500 0.500 0.500
Ru 0.000 0.500 0.000
Hg 0.000 0.000 0.000
Na 0.000 0.000 0.500
Na 0.500 0.000 0.000


[4]
A plane-wave DFT calculation with GGA-PBE was carried out for crystalline Na2ZnHgRu at its relaxed geometry.

Results
Final energy, eV per atom: -1.87
Magnetic moment, μB per formula unit: 1.205
Calculated formation energy, eV per atom: 0.823

a b c (Å): 5.589 5.195 5.589
angles (deg): 90.00 90.00 90.00
Fractional positions:
Ru 0.000 0.000 0.000
Zn 0.500 0.500 0.500
Hg 0.000 0.500 0.000
Na 0.000 0.000 0.500
Na 0.500 0.000 0.000


[5]
A plane-wave DFT calculation with GGA-PBE was carried out for crystalline NaZnHg2Ru at its relaxed geometry.

Results
Final energy, eV per atom: -1.52
Magnetic moment, μB per formula unit: 2.195
Calculated formation energy, eV per atom: 0.974

a b c (Å): 4.966 4.959 4.966
angles (deg): 90.00 90.00 90.00
Fractional positions:
Ru 0.500 0.500 0.500
Zn 0.000 0.000 0.000
Hg 0.000 0.000 0.500
Hg 0.500 0.000 0.000
Na 0.000 0.500 0.000


[6]
A plane-wave DFT calculation with GGA-PBE was carried out for crystalline Na2ZrHgRu at its relaxed geometry.

Results
Final energy, eV per atom: -3.56
Magnetic moment, μB per formula unit: 0.000
Calculated formation energy, eV per atom: 0.595

a b c (Å): 5.501 4.741 5.501
angles (deg): 90.00 90.00 90.00
Fractional positions:
Ru 0.000 0.000 0.000
Hg 0.500 0.500 0.500
Zr 0.000 0.500 0.000
Na 0.000 0.000 0.500
Na 0.500 0.000 0.000


[7]
A plane-wave DFT calculation with GGA-PBE was carried out for crystalline Na3HgS3 at its relaxed geometry.

Results
Final energy, eV per atom: -2.95
Magnetic moment, μB per formula unit: 0.954

a b c (Å): 5.525 9.428 9.428
angles (deg): 120.00 90.00 90.00
Fractional positions:
Na 0.750 0.850 0.176
Na 0.750 0.326 0.150
Na 0.750 0.824 0.674
Na 0.250 0.150 0.824
Na 0.250 0.674 0.850
Na 0.250 0.176 0.326
Hg 0.750 0.333 0.667
Hg 0.250 0.667 0.333
S 0.750 0.196 0.365
S 0.750 0.169 0.804
S 0.750 0.635 0.831
S 0.250 0.804 0.635
S 0.250 0.831 0.196
S 0.250 0.365 0.169


[8]
A plane-wave DFT calculation with GGA-PBE was carried out for crystalline NaHg2S2 at its relaxed geometry.

Results
Energy above the lowest structure with this stoichiometry, eV per atom: 0.106
Final energy, eV per atom: -2.18
Magnetic moment, μB per formula unit: 0.000

a b c (Å): 5.148 5.148 5.930
angles (deg): 64.28 64.28 90.00
Fractional positions:
Na 0.000 0.000 0.000
S 0.750 0.250 0.500
S 0.250 0.750 0.500
Hg 0.350 0.350 0.300
Hg 0.650 0.650 0.700